Entry 1:
This record from Alexandria via LeMat-Bulk describes an optimized crystal structure of Ho2TmCu. The functional is GGA-PBE.

Cell lengths 6.2046, 6.2046, 7.5351 Å; angles 90.00, 90.00, 133.89 degrees
Sites, in units of the cell vectors:
Ho (0.1475, 0.8525, 0.5329)
Ho (0.1475, 0.8525, 0.9671)
Ho (0.8525, 0.1475, 0.0329)
Ho (0.8525, 0.1475, 0.4671)
Tm (0.4557, 0.5443, 0.7500)
Tm (0.5443, 0.4557, 0.2500)
Cu (0.2985, 0.7015, 0.2500)
Cu (0.7015, 0.2985, 0.7500)

Output
Mass density = 8.934 g/cm³
ΔE to the lowest computed polymorph = 51 meV/atom
Final energy = -35.98 eV/cell
Total moment = 0.0 μB per formula unit

Entry 2:
This record from Alexandria via LeMat-Bulk describes an optimized crystal structure of Ho2TmCu2. The functional is GGA-PBE.

Cell lengths 7.1677, 7.1677, 9.2295 Å; angles 90.00, 90.00, 150.29 degrees
Sites, in units of the cell vectors:
Ho (0.1132, 0.8868, 0.5000)
Ho (0.3058, 0.6942, 0.7150)
Ho (0.6942, 0.3058, 0.2150)
Ho (0.8868, 0.1132, 0.0000)
Tm (0.4200, 0.5800, 0.3436)
Tm (0.5800, 0.4200, 0.8436)
Cu (0.0465, 0.9535, 0.1731)
Cu (0.2146, 0.7854, 0.9908)
Cu (0.7854, 0.2146, 0.4908)
Cu (0.9535, 0.0465, 0.6731)

Output
Mass density = 8.846 g/cm³
ΔE to the lowest computed polymorph = 80 meV/atom
Final energy = -44.69 eV/cell
Total moment = 0.0 μB per formula unit